Li2TlSe after structural relaxation. Source: Alexandria, functional PBE.

Total energy in eV/atom: -3.177
Density of states at the Fermi level in states/eV/atom: 0.110

abc: 4.062 4.062 19.064
angles: 90.00 90.00 120.00
Fractional coordinates of all 12 atoms:
Li 0.000 0.000 0.000
Li 0.000 0.000 0.236
Li 0.333 0.667 0.667
Li 0.333 0.667 0.903
Li 0.667 0.333 0.333
Li 0.667 0.333 0.569
Tl 0.000 0.000 0.784
Tl 0.333 0.667 0.451
Tl 0.667 0.333 0.118
Se 0.000 0.000 0.621
Se 0.333 0.667 0.288
Se 0.667 0.333 0.955